The following is a PBE calculation of a geometry-optimized CsNa3Y structure, from the Alexandria database.

Unit cell a=6.206 b=6.206 c=6.206 alpha=90.00 beta=90.00 gamma=90.00
Atoms (fractional coordinates):
1 Cs 0.000 0.000 0.000
2 Y 0.500 0.500 0.500
3 Na 0.000 0.500 0.000
4 Na 0.000 0.000 0.500
5 Na 0.500 0.000 0.000

Summary:
**E above lowest polymorph**: 263 meV per atom
**Theoretical density**: 2.021 g/cm³
**Energy**: -6.9 eV per cell